(a)
A relaxed structure of LaReNi2. Source: the Alexandria database, functional PBE.

The structure in CIF format:
```
data_LaReNi2
_cell_length_a 5.840
_cell_length_b 7.616
_cell_length_c 2.860
_cell_angle_alpha 90.00
_cell_angle_beta 90.00
_cell_angle_gamma 90.00
_space_group_name_H-M_alt 'C m m m'
_space_group_IT_number 65
_space_group_name_Hall '-C 2 2'
loop_
_atom_site_label
_atom_site_type_symbol
_atom_site_fract_x
_atom_site_fract_y
_atom_site_fract_z
La1 La 0.000 0.000 0.000
Re1 Re 0.000 0.500 0.000
Ni1 Ni 0.250 0.250 0.500
```

=====

(b)
A relaxed structure of LaReNi2. Source: the Alexandria database, functional PBE.

The structure in CIF format:
```
data_LaReNi2
_cell_length_a 2.870
_cell_length_b 4.233
_cell_length_c 5.659
_cell_angle_alpha 90.00
_cell_angle_beta 104.40
_cell_angle_gamma 90.00
_space_group_name_H-M_alt 'P 1 m 1'
_space_group_IT_number 6
loop_
_space_group_symop_operation_xyz
'x,y,z'
'x,-y,z'
loop_
_atom_site_label
_atom_site_type_symbol
_atom_site_fract_x
_atom_site_fract_y
_atom_site_fract_z
La1 La 0.000 0.000 0.000
Re1 Re 0.302 0.500 0.613
Ni1 Ni 0.617 0.500 0.237
Ni2 Ni 0.739 0.000 0.494
```

=====

(c)
A relaxed structure of LaReNi2. Source: the Alexandria database, functional PBE.

The structure in CIF format:
```
data_LaReNi2
_cell_length_a 6.500
_cell_length_b 6.500
_cell_length_c 6.500
_cell_angle_alpha 90.00
_cell_angle_beta 90.00
_cell_angle_gamma 90.00
_space_group_name_H-M_alt 'F m -3 m'
_space_group_IT_number 225
_space_group_name_Hall '-F 4 2 3'
loop_
_atom_site_label
_atom_site_type_symbol
_atom_site_fract_x
_atom_site_fract_y
_atom_site_fract_z
La1 La 0.000 0.000 0.000
Re1 Re 0.000 0.000 0.500
Ni1 Ni 0.250 0.250 0.250
```

=====

Quick ranking, most stable first: (b), (a), (c).

=====

(a)
A relaxed structure of LaReNi2. Source: the Alexandria database, functional PBE.

The structure in CIF format:
```
data_LaReNi2
_cell_length_a 4.743
_cell_length_b 4.743
_cell_length_c 2.879
_cell_angle_alpha 90.00
_cell_angle_beta 90.00
_cell_angle_gamma 90.00
_space_group_name_H-M_alt 'P 4/m m m'
_space_group_IT_number 123
_space_group_name_Hall '-P 4 2'
loop_
_atom_site_label
_atom_site_type_symbol
_atom_site_fract_x
_atom_site_fract_y
_atom_site_fract_z
La1 La 0.000 0.000 0.000
Re1 Re 0.500 0.500 0.000
Ni1 Ni 0.000 0.500 0.500
```

=====

(b)
A relaxed structure of LaReNi2. Source: the Alexandria database, functional PBE.

The structure in CIF format:
```
data_LaReNi2
_cell_length_a 2.853
_cell_length_b 4.663
_cell_length_c 9.783
_cell_angle_alpha 90.00
_cell_angle_beta 90.00
_cell_angle_gamma 90.00
_space_group_name_H-M_alt 'I m m 2'
_space_group_IT_number 44
loop_
_space_group_symop_operation_xyz
'x,y,z'
'-x,-y,z'
'-x,y,z'
'x,-y,z'
'x+1/2,y+1/2,z+1/2'
'-x+1/2,-y+1/2,z+1/2'
'-x+1/2,y+1/2,z+1/2'
'x+1/2,-y+1/2,z+1/2'
loop_
_atom_site_label
_atom_site_type_symbol
_atom_site_fract_x
_atom_site_fract_y
_atom_site_fract_z
La1 La 0.000 0.000 0.000
Re1 Re 0.000 0.500 0.216
Ni1 Ni 0.000 0.000 0.489
Ni2 Ni 0.000 0.500 0.771
```

=====

Quick ranking, most stable first: (a), (b).

=====

(a)
A relaxed structure of LaRe3Ni. Source: the Alexandria database, functional PBE.

The structure in CIF format:
```
data_LaRe3Ni
_cell_length_a 4.602
_cell_length_b 4.602
_cell_length_c 4.602
_cell_angle_alpha 90.00
_cell_angle_beta 90.00
_cell_angle_gamma 90.00
_space_group_name_H-M_alt 'P m -3 m'
_space_group_IT_number 221
_space_group_name_Hall '-P 4 2 3'
loop_
_atom_site_label
_atom_site_type_symbol
_atom_site_fract_x
_atom_site_fract_y
_atom_site_fract_z
La1 La 0.000 0.000 0.000
Re1 Re 0.000 0.500 0.500
Ni1 Ni 0.500 0.500 0.500
```

=====

(b)
A relaxed structure of LaRe3Ni. Source: the Alexandria database, functional PBE.

The structure in CIF format:
```
data_LaRe3Ni
_cell_length_a 4.767
_cell_length_b 4.767
_cell_length_c 4.767
_cell_angle_alpha 90.00
_cell_angle_beta 90.00
_cell_angle_gamma 90.00
_space_group_name_H-M_alt 'P m -3 m'
_space_group_IT_number 221
_space_group_name_Hall '-P 4 2 3'
loop_
_atom_site_label
_atom_site_type_symbol
_atom_site_fract_x
_atom_site_fract_y
_atom_site_fract_z
La1 La 0.000 0.000 0.000
Re1 Re 0.000 0.000 0.500
Ni1 Ni 0.500 0.500 0.500
```

=====

Quick ranking, most stable first: (a), (b).

=====

(a)
A relaxed structure of LaReNi3. Source: the Alexandria database, functional PBE.

The structure in CIF format:
```
data_LaReNi3
_cell_length_a 4.522
_cell_length_b 4.522
_cell_length_c 4.522
_cell_angle_alpha 90.00
_cell_angle_beta 90.00
_cell_angle_gamma 90.00
_space_group_name_H-M_alt 'P m -3 m'
_space_group_IT_number 221
_space_group_name_Hall '-P 4 2 3'
loop_
_atom_site_label
_atom_site_type_symbol
_atom_site_fract_x
_atom_site_fract_y
_atom_site_fract_z
La1 La 0.000 0.000 0.000
Re1 Re 0.500 0.500 0.500
Ni1 Ni 0.000 0.000 0.500
```

=====

(b)
A relaxed structure of LaReNi3. Source: the Alexandria database, functional PBE.

The structure in CIF format:
```
data_LaReNi3
_cell_length_a 4.601
_cell_length_b 4.601
_cell_length_c 4.601
_cell_angle_alpha 90.00
_cell_angle_beta 90.00
_cell_angle_gamma 90.00
_space_group_name_H-M_alt 'P m -3 m'
_space_group_IT_number 221
_space_group_name_Hall '-P 4 2 3'
loop_
_atom_site_label
_atom_site_type_symbol
_atom_site_fract_x
_atom_site_fract_y
_atom_site_fract_z
La1 La 0.000 0.000 0.000
Re1 Re 0.500 0.500 0.500
Ni1 Ni 0.000 0.500 0.500
```

=====

Quick ranking, most stable first: (b), (a).

=====

(a)
A relaxed structure of La2Ni2Rh. Source: the Alexandria database, functional PBE.

The structure in CIF format:
```
data_La2Ni2Rh
_cell_length_a 7.171
_cell_length_b 7.171
_cell_length_c 3.929
_cell_angle_alpha 90.00
_cell_angle_beta 90.00
_cell_angle_gamma 90.00
_space_group_name_H-M_alt 'P 4/m b m'
_space_group_IT_number 127
_space_group_name_Hall '-P 4 2ab'
loop_
_atom_site_label
_atom_site_type_symbol
_atom_site_fract_x
_atom_site_fract_y
_atom_site_fract_z
La1 La 0.189 0.311 0.000
Ni1 Ni 0.118 0.618 0.500
Rh1 Rh 0.000 0.000 0.500
```

=====

(b)
A relaxed structure of La2Ni2Rh. Source: the Alexandria database, functional PBE.

The structure in CIF format:
```
data_La2Ni2Rh
_cell_length_a 5.380
_cell_length_b 5.380
_cell_length_c 7.455
_cell_angle_alpha 90.00
_cell_angle_beta 90.00
_cell_angle_gamma 90.00
_space_group_name_H-M_alt 'I 4/m m m'
_space_group_IT_number 139
_space_group_name_Hall '-I 4 2'
loop_
_atom_site_label
_atom_site_type_symbol
_atom_site_fract_x
_atom_site_fract_y
_atom_site_fract_z
La1 La 0.000 0.500 0.250
Ni1 Ni 0.000 0.000 0.155
Rh1 Rh 0.000 0.000 0.500
```

=====

(c)
A relaxed structure of La2Ni2Rh. Source: the Alexandria database, functional PBE.

The structure in CIF format:
```
data_La2Ni2Rh
_cell_length_a 3.540
_cell_length_b 3.540
_cell_length_c 16.411
_cell_angle_alpha 90.00
_cell_angle_beta 90.00
_cell_angle_gamma 90.00
_space_group_name_H-M_alt 'I 4/m m m'
_space_group_IT_number 139
_space_group_name_Hall '-I 4 2'
loop_
_atom_site_label
_atom_site_type_symbol
_atom_site_fract_x
_atom_site_fract_y
_atom_site_fract_z
La1 La 0.000 0.000 0.109
Ni1 Ni 0.000 0.500 0.250
Rh1 Rh 0.000 0.000 0.500
```

=====

(d)
A relaxed structure of La2Ni2Rh. Source: the Alexandria database, functional PBE.

The structure in CIF format:
```
data_La2Ni2Rh
_cell_length_a 4.669
_cell_length_b 4.985
_cell_length_c 8.572
_cell_angle_alpha 90.00
_cell_angle_beta 90.00
_cell_angle_gamma 90.00
_space_group_name_H-M_alt 'I m m m'
_space_group_IT_number 71
_space_group_name_Hall '-I 2 2'
loop_
_atom_site_label
_atom_site_type_symbol
_atom_site_fract_x
_atom_site_fract_y
_atom_site_fract_z
La1 La 0.000 0.000 0.196
Ni1 Ni 0.000 0.249 0.500
Rh1 Rh 0.000 0.500 0.000
```

=====

Quick ranking, most stable first: (d), (a), (c), (b).